No. 1
A plane-wave DFT calculation with PBE-GGA was carried out for a geometry-optimized Sr2Si3Ni structure.

Cell and atoms, written as extended XYZ:
```
6
Lattice="3.963 0.000 0.000 0.000 4.720 0.000 0.000 0.000 7.177" Properties=species:S:1:pos:R:3 pbc="T T T"
Sr 0.000 0.000 0.000
Sr 1.981 0.000 3.529
Si 0.000 2.360 2.286
Si 0.000 2.360 4.682
Si 1.981 2.360 6.050
Ni 1.981 2.360 1.162
```

ΔE_f (raw): -0.495 eV per atom
calculated volume: 134 Å³/f.u.
space-group type: Pmm2 (25)

---

No. 2
A plane-wave DFT calculation with PBE-GGA was carried out for a geometry-optimized Ca2DyGe3Pd4 structure.

Cell and atoms, written as extended XYZ:
```
10
Lattice="4.251 0.000 0.000 0.000 4.251 0.000 0.000 0.000 11.366" Properties=species:S:1:pos:R:3 pbc="T T T"
Ca 0.000 2.125 2.569
Ca 2.125 0.000 8.797
Dy 0.000 0.000 5.683
Ge 0.000 2.125 9.957
Ge 2.125 0.000 1.409
Ge 2.125 2.125 5.683
Pd 0.000 0.000 0.000
Pd 0.000 2.125 7.502
Pd 2.125 0.000 3.864
Pd 2.125 2.125 0.000
```

calculated volume: 205 Å³/f.u.
calculated formation energy: -0.760 eV/atom
space-group type: P-4m2 (115)

---

No. 3
A plane-wave DFT calculation with PBE-GGA was carried out for a geometry-optimized La3Tb2Pm4 structure.

Cell and atoms, written as extended XYZ:
```
9
Lattice="8.004 -1.835 0.000 8.004 1.835 0.000 -2.618 0.000 10.648" Properties=species:S:1:pos:R:3 pbc="T T T"
La 0.000 0.000 0.000
La 4.156 0.000 4.732
La 9.234 0.000 5.916
Tb 3.294 0.000 8.292
Tb 10.096 0.000 2.355
Pm -0.865 0.000 3.528
Pm 14.256 0.000 7.120
Pm 5.037 0.000 1.175
Pm 8.353 0.000 9.473
```

calculated volume: 313 Å³/f.u.
calculated formation energy: 0.019 eV/atom
E above lowest polymorph: 0.000 eV/atom
space-group type: C2/m (12)

---

No. 4
A plane-wave DFT calculation with PBE-GGA was carried out for a geometry-optimized ZrZnGaCo structure.

Cell and atoms, written as extended XYZ:
```
4
Lattice="0.000 3.110 3.110 3.110 0.000 3.110 3.110 3.110 0.000" Properties=species:S:1:pos:R:3 pbc="T T T"
Zr 0.000 0.000 0.000
Zn 1.555 1.555 1.555
Ga 3.110 3.110 3.110
Co 4.664 4.664 4.664
```

calculated volume: 60 Å³/f.u.
calculated formation energy: -0.297 eV/atom
space-group type: F-43m (216)

---

Number 1: magnetization 0.000 μB per cell. Number 2: magnetization 0.000 μB per cell. Number 3: magnetization 0.000 μB per cell. Number 4: magnetization 0.000 μB per cell.